The following is a PBE calculation of crystalline Pm3Y4Tm at its relaxed geometry, from the Alexandria database.

CIF file:
```
data_Pm3Y4Tm
_chemical_formula_sum 'Pm3 Y4 Tm1'
_symmetry_space_group_name_H-M 'P 1'
_symmetry_Int_Tables_number 1
_cell_length_a 3.599
_cell_length_b 8.038
_cell_length_c 10.732
_cell_angle_alpha 98.65
_cell_angle_beta 109.59
_cell_angle_gamma 63.34
loop_
_symmetry_equiv_pos_as_xyz
'x,y,z'
loop_
_atom_site_label
_atom_site_type_symbol
_atom_site_fract_x
_atom_site_fract_y
_atom_site_fract_z
Y1 Y 0.505 0.248 0.753
Y2 Y 0.000 0.248 0.247
Y3 Y 0.495 0.752 0.247
Y4 Y 0.000 0.752 0.753
Pm1 Pm 0.500 0.500 0.500
Pm2 Pm 0.000 0.000 0.500
Pm3 Pm 0.000 0.500 0.000
Tm1 Tm 0.500 0.000 0.000
```

energy of formation from the pure elements = 0.02 eV per atom
excess energy over the best structure of this formula in the dataset = 1.75 kJ per mole of atoms
crystal system = monoclinic

---

The following is a PBE calculation of crystalline Pm6Y2Tm5 at its relaxed geometry, from the Alexandria database.

CIF file:
```
data_Pm6Y2Tm5
_chemical_formula_sum 'Pm12 Y4 Tm10'
_symmetry_space_group_name_H-M 'P 1'
_symmetry_Int_Tables_number 1
_cell_length_a 3.606
_cell_length_b 11.690
_cell_length_c 20.354
_cell_angle_alpha 90.00
_cell_angle_beta 90.00
_cell_angle_gamma 90.00
loop_
_symmetry_equiv_pos_as_xyz
'x,y,z'
loop_
_atom_site_label
_atom_site_type_symbol
_atom_site_fract_x
_atom_site_fract_y
_atom_site_fract_z
Tm1 Tm 0.500 0.096 0.225
Tm2 Tm 0.500 0.199 0.945
Tm3 Tm 0.500 0.904 0.775
Tm4 Tm 0.500 0.000 0.500
Tm5 Tm 0.500 0.699 0.555
Tm6 Tm 0.500 0.500 0.000
Tm7 Tm 0.500 0.596 0.275
Tm8 Tm 0.500 0.301 0.445
Tm9 Tm 0.500 0.801 0.055
Tm10 Tm 0.500 0.404 0.725
Y1 Y 0.000 0.663 0.712
Y2 Y 0.000 0.163 0.788
Y3 Y 0.000 0.337 0.288
Y4 Y 0.000 0.837 0.212
Pm1 Pm 0.500 0.327 0.131
Pm2 Pm 0.500 0.173 0.631
Pm3 Pm 0.000 0.418 0.866
Pm4 Pm 0.000 0.942 0.920
Pm5 Pm 0.500 0.827 0.369
Pm6 Pm 0.000 0.058 0.080
Pm7 Pm 0.000 0.918 0.634
Pm8 Pm 0.000 0.558 0.420
Pm9 Pm 0.000 0.582 0.134
Pm10 Pm 0.000 0.082 0.366
Pm11 Pm 0.000 0.442 0.580
Pm12 Pm 0.500 0.673 0.869
```

energy of formation from the pure elements = 0.10 eV per atom
crystal system = orthorhombic

---

The following is a PBE calculation of crystalline Pm2Y15Tm2 at its relaxed geometry, from the Alexandria database.

CIF file:
```
data_Pm2Y15Tm2
_chemical_formula_sum 'Pm2 Y15 Tm2'
_symmetry_space_group_name_H-M 'P 1'
_symmetry_Int_Tables_number 1
_cell_length_a 8.785
_cell_length_b 8.785
_cell_length_c 8.785
_cell_angle_alpha 79.81
_cell_angle_beta 79.81
_cell_angle_gamma 79.81
loop_
_symmetry_equiv_pos_as_xyz
'x,y,z'
loop_
_atom_site_label
_atom_site_type_symbol
_atom_site_fract_x
_atom_site_fract_y
_atom_site_fract_z
Y1 Y 0.297 0.703 0.000
Y2 Y 0.000 0.500 0.000
Y3 Y 0.632 0.632 0.148
Y4 Y 0.000 0.000 0.500
Y5 Y 0.703 0.000 0.297
Y6 Y 0.632 0.148 0.632
Y7 Y 0.703 0.297 0.000
Y8 Y 0.852 0.368 0.368
Y9 Y 0.297 0.000 0.703
Y10 Y 0.368 0.852 0.368
Y11 Y 0.500 0.000 0.000
Y12 Y 0.000 0.703 0.297
Y13 Y 0.148 0.632 0.632
Y14 Y 0.368 0.368 0.852
Y15 Y 0.000 0.297 0.703
Tm1 Tm 0.096 0.096 0.096
Tm2 Tm 0.904 0.904 0.904
Pm1 Pm 0.677 0.677 0.677
Pm2 Pm 0.323 0.323 0.323
```

energy of formation from the pure elements = 0.29 eV per atom
crystal system = trigonal

---

The following is a PBE calculation of crystalline PmY6Tm4 at its relaxed geometry, from the Alexandria database.

CIF file:
```
data_PmY6Tm4
_chemical_formula_sum 'Pm2 Y12 Tm8'
_symmetry_space_group_name_H-M 'P 1'
_symmetry_Int_Tables_number 1
_cell_length_a 5.643
_cell_length_b 5.613
_cell_length_c 25.704
_cell_angle_alpha 90.00
_cell_angle_beta 90.00
_cell_angle_gamma 120.18
loop_
_symmetry_equiv_pos_as_xyz
'x,y,z'
loop_
_atom_site_label
_atom_site_type_symbol
_atom_site_fract_x
_atom_site_fract_y
_atom_site_fract_z
Pm1 Pm 0.173 0.347 0.750
Pm2 Pm 0.827 0.653 0.250
Y1 Y 0.173 0.347 0.601
Y2 Y 0.493 0.986 0.250
Y3 Y 0.500 0.000 0.500
Y4 Y 0.841 0.681 0.680
Y5 Y 0.173 0.347 0.899
Y6 Y 0.500 0.000 0.000
Y7 Y 0.159 0.319 0.180
Y8 Y 0.827 0.653 0.101
Y9 Y 0.507 0.014 0.750
Y10 Y 0.827 0.653 0.399
Y11 Y 0.159 0.319 0.320
Y12 Y 0.841 0.681 0.820
Tm1 Tm 0.508 0.016 0.879
Tm2 Tm 0.836 0.672 0.542
Tm3 Tm 0.492 0.984 0.121
Tm4 Tm 0.508 0.016 0.621
Tm5 Tm 0.492 0.984 0.379
Tm6 Tm 0.164 0.328 0.458
Tm7 Tm 0.836 0.672 0.958
Tm8 Tm 0.164 0.328 0.042
```

energy of formation from the pure elements = 0.12 eV per atom
excess energy over the best structure of this formula in the dataset = 0.00 kJ per mole of atoms
crystal system = orthorhombic

---

The following is a PBE calculation of crystalline PmYTm at its relaxed geometry, from the Alexandria database.

CIF file:
```
data_PmYTm
_chemical_formula_sum 'Pm1 Y1 Tm1'
_symmetry_space_group_name_H-M 'P 1'
_symmetry_Int_Tables_number 1
_cell_length_a 3.570
_cell_length_b 3.570
_cell_length_c 7.993
_cell_angle_alpha 102.91
_cell_angle_beta 102.91
_cell_angle_gamma 90.00
loop_
_symmetry_equiv_pos_as_xyz
'x,y,z'
loop_
_atom_site_label
_atom_site_type_symbol
_atom_site_fract_x
_atom_site_fract_y
_atom_site_fract_z
Tm1 Tm 0.666 0.666 0.333
Pm1 Pm 0.332 0.332 0.664
Y1 Y 0.002 0.002 0.004
```

energy of formation from the pure elements = 0.02 eV per atom
excess energy over the best structure of this formula in the dataset = 1.56 kJ per mole of atoms
crystal system = tetragonal

---

The following is a PBE calculation of crystalline Pm6Y2Tm3 at its relaxed geometry, from the Alexandria database.

CIF file:
```
data_Pm6Y2Tm3
_chemical_formula_sum 'Pm6 Y2 Tm3'
_symmetry_space_group_name_H-M 'P 1'
_symmetry_Int_Tables_number 1
_cell_length_a 3.597
_cell_length_b 3.597
_cell_length_c 32.102
_cell_angle_alpha 86.79
_cell_angle_beta 86.79
_cell_angle_gamma 60.00
loop_
_symmetry_equiv_pos_as_xyz
'x,y,z'
loop_
_atom_site_label
_atom_site_type_symbol
_atom_site_fract_x
_atom_site_fract_y
_atom_site_fract_z
Pm1 Pm 0.910 0.910 0.270
Pm2 Pm 0.637 0.637 0.090
Pm3 Pm 0.363 0.363 0.910
Pm4 Pm 0.090 0.090 0.730
Pm5 Pm 0.818 0.818 0.547
Pm6 Pm 0.182 0.182 0.453
Tm1 Tm 0.273 0.273 0.180
Tm2 Tm 0.000 0.000 0.000
Tm3 Tm 0.727 0.727 0.820
Y1 Y 0.454 0.454 0.639
Y2 Y 0.546 0.546 0.361
```

energy of formation from the pure elements = 0.02 eV per atom
excess energy over the best structure of this formula in the dataset = 0.00 kJ per mole of atoms
crystal system = trigonal

---

The following is a PBE calculation of crystalline PmY4Tm5 at its relaxed geometry, from the Alexandria database.

CIF file:
```
data_PmY4Tm5
_chemical_formula_sum 'Pm1 Y4 Tm5'
_symmetry_space_group_name_H-M 'P 1'
_symmetry_Int_Tables_number 1
_cell_length_a 6.320
_cell_length_b 7.823
_cell_length_c 7.823
_cell_angle_alpha 80.61
_cell_angle_beta 66.18
_cell_angle_gamma 66.18
loop_
_symmetry_equiv_pos_as_xyz
'x,y,z'
loop_
_atom_site_label
_atom_site_type_symbol
_atom_site_fract_x
_atom_site_fract_y
_atom_site_fract_z
Tm1 Tm 0.092 0.627 0.088
Tm2 Tm 0.719 0.088 0.373
Tm3 Tm 0.180 0.912 0.627
Tm4 Tm 0.807 0.373 0.912
Tm5 Tm 0.679 0.000 0.000
Y1 Y 0.108 0.296 0.393
Y2 Y 0.404 0.393 0.704
Y3 Y 0.501 0.607 0.296
Y4 Y 0.797 0.704 0.607
Pm1 Pm 0.223 0.000 0.000
```

energy of formation from the pure elements = 0.30 eV per atom
excess energy over the best structure of this formula in the dataset = 23.05 kJ per mole of atoms
crystal system = tetragonal

---

The following is a PBE calculation of crystalline Pm2YTm at its relaxed geometry, from the Alexandria database.

CIF file:
```
data_Pm2YTm
_chemical_formula_sum 'Pm2 Y1 Tm1'
_symmetry_space_group_name_H-M 'P 1'
_symmetry_Int_Tables_number 1
_cell_length_a 3.596
_cell_length_b 3.596
_cell_length_c 11.812
_cell_angle_alpha 81.25
_cell_angle_beta 81.25
_cell_angle_gamma 60.00
loop_
_symmetry_equiv_pos_as_xyz
'x,y,z'
loop_
_atom_site_label
_atom_site_type_symbol
_atom_site_fract_x
_atom_site_fract_y
_atom_site_fract_z
Y1 Y 0.500 0.500 0.500
Pm1 Pm 0.749 0.749 0.753
Pm2 Pm 0.251 0.251 0.247
Tm1 Tm 0.000 0.000 0.000
```

energy of formation from the pure elements = 0.01 eV per atom
excess energy over the best structure of this formula in the dataset = 0.00 kJ per mole of atoms
crystal system = trigonal

---

The following is a PBE calculation of crystalline PmY4Tm5 at its relaxed geometry, from the Alexandria database.

CIF file:
```
data_PmY4Tm5
_chemical_formula_sum 'Pm1 Y4 Tm5'
_symmetry_space_group_name_H-M 'P 1'
_symmetry_Int_Tables_number 1
_cell_length_a 3.541
_cell_length_b 6.734
_cell_length_c 14.321
_cell_angle_alpha 95.60
_cell_angle_beta 101.27
_cell_angle_gamma 106.66
loop_
_symmetry_equiv_pos_as_xyz
'x,y,z'
loop_
_atom_site_label
_atom_site_type_symbol
_atom_site_fract_x
_atom_site_fract_y
_atom_site_fract_z
Pm1 Pm 0.500 0.000 0.000
Tm1 Tm 0.758 0.880 0.582
Tm2 Tm 0.049 0.427 0.611
Tm3 Tm 0.500 0.500 0.000
Tm4 Tm 0.242 0.120 0.418
Tm5 Tm 0.951 0.573 0.389
Y1 Y 0.413 0.809 0.219
Y2 Y 0.161 0.274 0.196
Y3 Y 0.587 0.191 0.781
Y4 Y 0.839 0.726 0.804
```

energy of formation from the pure elements = 0.06 eV per atom
excess energy over the best structure of this formula in the dataset = 0.00 kJ per mole of atoms
crystal system = triclinic

---

The following is a PBE calculation of crystalline PmY14Tm at its relaxed geometry, from the Alexandria database.

CIF file:
```
data_PmY14Tm
_chemical_formula_sum 'Pm1 Y14 Tm1'
_symmetry_space_group_name_H-M 'P 1'
_symmetry_Int_Tables_number 1
_cell_length_a 7.146
_cell_length_b 7.146
_cell_length_c 10.074
_cell_angle_alpha 90.00
_cell_angle_beta 90.00
_cell_angle_gamma 90.00
loop_
_symmetry_equiv_pos_as_xyz
'x,y,z'
loop_
_atom_site_label
_atom_site_type_symbol
_atom_site_fract_x
_atom_site_fract_y
_atom_site_fract_z
Y1 Y 0.624 0.874 0.751
Y2 Y 0.624 0.376 0.751
Y3 Y 0.875 0.125 0.500
Y4 Y 0.375 0.125 0.000
Y5 Y 0.375 0.125 0.500
Y6 Y 0.375 0.625 0.500
Y7 Y 0.624 0.874 0.249
Y8 Y 0.126 0.874 0.249
Y9 Y 0.875 0.625 0.000
Y10 Y 0.126 0.376 0.751
Y11 Y 0.126 0.376 0.249
Y12 Y 0.875 0.625 0.500
Y13 Y 0.126 0.874 0.751
Y14 Y 0.624 0.376 0.249
Tm1 Tm 0.375 0.625 0.000
Pm1 Pm 0.875 0.125 0.000
```

energy of formation from the pure elements = 0.02 eV per atom
crystal system = tetragonal

---

> The lowest energy of formation from the pure elements belongs to which entry?

Pm2YTm

---

> Which of these has the highest energy of formation from the pure elements?

number 7

---

> Among the records above, which one has the highest energy of formation from the pure elements?

number 7